Record 1
The following is a DFT calculation (PBE-GGA) of an optimized crystal structure of ZrIn3Ru.

DFT total energy (eV/cell): -18.9
Magnetic moment (Bohr magnetons per cell): 2.47
Formation energy (eV/atom): 1.426

Cell lengths 5.468, 5.468, 5.468 Å; angles 90.00, 90.00, 90.00 degrees
Sites, in units of the cell vectors:
In 0.000 0.500 0.000
In 0.500 0.000 0.000
In 0.000 0.000 0.500
Ru 0.500 0.500 0.500
Zr 0.000 0.000 0.000

---

Record 2
The following is a DFT calculation (PBE-GGA) of an optimized crystal structure of ZrIn4Ru.

DFT total energy (eV/cell): -25.8
Magnetic moment (Bohr magnetons per cell): 1.20
Formation energy (eV/atom): 0.499

Cell lengths 5.702, 5.702, 5.702 Å; angles 60.00, 60.00, 60.00 degrees
Sites, in units of the cell vectors:
In 0.375 0.875 0.375
In 0.375 0.375 0.375
In 0.875 0.375 0.375
In 0.375 0.375 0.875
Zr 0.000 0.000 0.000
Ru 0.750 0.750 0.750

---

Record 3
The following is a DFT calculation (PBE-GGA) of an optimized crystal structure of ZrInRu.

DFT total energy (eV/cell): -21.1
Magnetic moment (Bohr magnetons per cell): 0.00
Formation energy (eV/atom): -0.175

Cell lengths 4.618, 4.618, 3.097 Å; angles 90.00, 90.00, 120.00 degrees
Sites, in units of the cell vectors:
In 0.000 0.000 0.076
Zr 0.333 0.667 0.613
Ru 0.667 0.333 0.311

---

Record 4
The following is a DFT calculation (PBE-GGA) of an optimized crystal structure of ZrInRu4.

DFT total energy (eV/cell): -48.9
Magnetic moment (Bohr magnetons per cell): 0.00
Formation energy (eV/atom): -0.088

Cell lengths 5.205, 5.205, 5.205 Å; angles 60.00, 60.00, 60.00 degrees
Sites, in units of the cell vectors:
In 0.000 0.000 0.000
Ru 0.374 0.877 0.374
Ru 0.374 0.374 0.877
Ru 0.877 0.374 0.374
Ru 0.374 0.374 0.374
Zr 0.750 0.750 0.750

---

Record 5
The following is a DFT calculation (PBE-GGA) of an optimized crystal structure of Zr2InRu3.

DFT total energy (eV/cell): -50.5
Magnetic moment (Bohr magnetons per cell): 0.00
Formation energy (eV/atom): -0.466

Cell lengths 3.282, 3.282, 9.662 Å; angles 90.00, 90.00, 90.00 degrees
Sites, in units of the cell vectors:
Ru 0.000 0.000 0.331
Ru 0.000 0.000 0.000
Ru 0.000 0.000 0.669
In 0.500 0.500 0.500
Zr 0.500 0.500 0.172
Zr 0.500 0.500 0.828

---

Record 6
The following is a DFT calculation (PBE-GGA) of an optimized crystal structure of ZrInRu.

DFT total energy (eV/cell): -21.4
Magnetic moment (Bohr magnetons per cell): 0.00
Formation energy (eV/atom): -0.290

Cell lengths 5.931, 5.932, 3.244 Å; angles 74.13, 74.13, 31.74 degrees
Sites, in units of the cell vectors:
In 0.016 0.016 0.984
Zr 0.313 0.313 0.687
Ru 0.670 0.670 0.330

---

Computed volume, in the same sequence as the records: 163.5; 131.1; 57.2; 99.7; 104.1; 57.6 Å³/cell.